RbNpB2F8 | the Alexandria database | GGA-PBE | optimized geometry; D(E_F) = 6.70 states/eV/f.u.
1.0
-2.1548 3.7076 -1.8951
-4.6790 0.2858 0.0799
-1.8320 6.1427 8.3014
Rb B F Np
1 2 8 1
direct
0.5000 0.5000 0.5000 Rb
0.7537 0.7537 0.7389 B
0.2463 0.2463 0.2611 B
0.4378 0.7735 0.7812 F
0.5622 0.2265 0.2188 F
0.8012 0.8012 0.5965 F
0.2265 0.9925 0.2188 F
0.7735 0.0075 0.7812 F
0.9925 0.5622 0.2188 F
0.0075 0.4378 0.7812 F
0.1988 0.1988 0.4035 F
0.0000 0.0000 0.0000 Np

B2O3F | the Alexandria database | GGA-PBE | optimized geometry; D(E_F) = 2.41 states/eV/f.u.
1.0
-0.3522 1.2703 1.9743
-4.8078 -1.7256 0.2526
5.7980 -7.9570 6.1539
O B F
6 4 2
direct
0.2500 0.3876 0.7687 O
0.7500 0.6884 0.9202 O
0.7500 0.6124 0.2313 O
0.7500 0.2892 0.5853 O
0.2500 0.7108 0.4147 O
0.2500 0.3116 0.0798 O
0.7500 0.4026 0.1327 B
0.2500 0.5974 0.8673 B
0.7500 0.6768 0.3555 B
0.2500 0.3232 0.6445 B
0.7500 0.8459 0.7000 F
0.2500 0.1541 0.3000 F

BO2F | the Alexandria database | GGA-PBE | optimized geometry; D(E_F) = 1.75 states/eV/f.u.
1.0
-3.3267 -2.7857 1.1527
1.5571 -0.1178 4.2092
-2.8482 1.2245 3.4822
O B F
4 2 2
direct
0.2852 0.6250 0.2500 O
0.8750 0.7148 0.7500 O
0.3750 0.5352 0.7500 O
0.4648 0.1250 0.2500 O
0.5000 0.5000 0.0000 B
0.2500 0.7500 0.5000 B
0.0000 0.0000 0.0000 F
0.7500 0.2500 0.5000 F

BO2F | the Alexandria database | GGA-PBE | optimized geometry; D(E_F) = 1.52 states/eV/f.u.
1.0
-1.9918 -0.2212 2.8494
-2.8836 1.9366 0.2640
-3.1343 -1.5096 -0.1787
B O F
1 2 1
direct
0.0000 0.0000 0.0000 B
0.2500 0.2500 0.2500 O
0.7500 0.7500 0.7500 O
0.5000 0.5000 0.5000 F

B3OF | the Alexandria database | GGA-PBE | optimized geometry; D(E_F) = 2.46 states/eV/f.u.
1.0
-3.1543 -0.3768 -2.0271
-0.7451 -3.2463 1.7627
-1.9225 1.8763 2.6428
F B O
1 3 1
direct
0.5000 0.5000 0.5000 F
0.5000 0.0000 0.0000 B
0.0000 0.0000 0.5000 B
0.0000 0.5000 0.0000 B
0.0000 0.0000 0.0000 O

B4O5F2 | the Alexandria database | GGA-PBE | optimized geometry; D(E_F) = 0.00 states/eV/f.u.
1.0
-5.1033 2.9705 1.7571
1.5139 -5.9224 -0.7665
3.8382 0.6585 4.4725
O B F
5 4 2
direct
0.0280 0.3019 0.8317 O
0.4702 0.1963 0.1683 O
0.5000 0.0000 0.5000 O
0.5298 0.8037 0.8317 O
0.9720 0.6981 0.1683 O
0.3161 0.9677 0.2839 B
0.2326 0.4831 0.7157 B
0.6839 0.0323 0.7161 B
0.7674 0.5169 0.2843 B
0.8576 0.6623 0.5199 F
0.1424 0.3377 0.4801 F

no.,formation energy from raw total energies (eV per formula unit),size of the total moment (μB per formula unit),E_tot (hartree per atom)
1,-31.40,5.60,-0.225
2,-11.14,1.01,-0.253
3,-3.99,2.00,-0.206
4,5.10,2.00,-0.123
5,9.54,0.00,-0.127
6,-27.00,0.00,-0.275